(1)
A plane-wave DFT calculation with PBE was carried out for an optimized crystal structure of TlCuPC.

Geometry as CIF:
```
data_TlCuPC
_cell_length_a 3.484
_cell_length_b 3.780
_cell_length_c 5.683
_cell_angle_alpha 102.68
_cell_angle_beta 90.09
_cell_angle_gamma 90.02
_symmetry_space_group_name_H-M 'P 1'
_symmetry_Int_Tables_number 1
_symmetry_space_group_name_Hall 'P 1'
loop_
_atom_site_label
_atom_site_fract_x
_atom_site_fract_y
_atom_site_fract_z
Tl1 0.000 0.000 0.000
Cu1 0.997 0.332 0.570
P1 0.497 0.663 0.459
C1 0.497 0.094 0.638
```



(2)
A plane-wave DFT calculation with PBE was carried out for an optimized crystal structure of TlCuPC.

Geometry as CIF:
```
data_TlCuPC
_cell_length_a 7.457
_cell_length_b 3.672
_cell_length_c 6.686
_cell_angle_alpha 90.00
_cell_angle_beta 123.28
_cell_angle_gamma 90.00
_symmetry_space_group_name_H-M 'C 1 m 1'
_symmetry_Int_Tables_number 8
_symmetry_space_group_name_Hall 'C -2y'
loop_
_atom_site_label
_atom_site_fract_x
_atom_site_fract_y
_atom_site_fract_z
Tl1 0.000 0.000 0.000
Cu1 0.372 0.500 0.543
P1 0.026 0.500 0.488
C1 0.061 0.500 0.259
```



Number 1: DOS at the Fermi energy 1.215 states/eV/f.u., ΔE_f 0.6298 eV per atom. Number 2: DOS at the Fermi energy 1.336 states/eV/f.u., ΔE_f 0.6635 eV per atom.